## Na2Pa2O5F2 (PBE)

Data for Na2Pa2O5F2 after structural relaxation.

Lattice parameters (Å, degrees): 4.2967 4.2967 10.9189 101.35 101.35 90.00
Last column: nearest neighbours and their distance in Å.
Sites, in units of the cell vectors:
Na 0.3153 0.3153 0.6307  1 F 2.21
Na 0.6847 0.6847 0.3693  1 F 2.21
Pa 0.1015 0.1015 0.2029  5 O 2.13-2.17, 1 F 2.28
Pa 0.8985 0.8985 0.7971  5 O 2.13-2.17, 1 F 2.28
O 0.0000 0.0000 0.0000  2 Pa 2.13
O 0.6163 0.1163 0.2326  2 Pa 2.17
O 0.8837 0.3837 0.7674  2 Pa 2.17
O 0.1163 0.6163 0.2326  2 Pa 2.17
O 0.3837 0.8837 0.7674  2 Pa 2.17
F 0.2100 0.2100 0.4199  1 Na 2.21, 1 Pa 2.28
F 0.7900 0.7900 0.5801  1 Na 2.21, 1 Pa 2.28

Summary:
crystal system: tetragonal
space-group type: I4/mmm (139)
magnetization: 0.0 μB per formula unit
formation energy without anion corrections: -3235 meV/atom
D(E_F): 0.00 states/eV/f.u.
theoretical density: 5369 kg/m³